No. 1
DFT (PBEsol) results for a relaxed structure of Zr4Sc.

Properties
Spin magnetization   0.0 μB/f.u.
Space group   I4/m, No. 87
Crystal system   tetragonal
Total energy   -8.561 eV/atom
Formation energy from the elements   0.0318 eV per atom
N(E_F)   7.0 states/eV per cell

Cell and atoms, written as POSCAR:
```
Zr4Sc
1.0
-3.535 3.535 2.221
3.535 -3.535 2.221
3.535 3.535 -2.221
Zr Sc
4 1
direct
0.099 0.299 0.399
0.299 0.901 0.200
0.701 0.099 0.800
0.901 0.701 0.601
0.500 0.500 0.000
```



No. 2
DFT (PBEsol) results for a relaxed structure of Y2Ni.

Properties
Spin magnetization   0.0 μB/f.u.
Space group   Fd-3m, No. 227
Crystal system   cubic
Total energy   -6.821 eV/atom
Formation energy from the elements   -0.2199 eV per atom
N(E_F)   24.1 states/eV per cell

Cell and atoms, written as POSCAR:
```
Y2Ni
1.0
0.000 6.448 6.448
6.448 0.000 6.448
6.448 6.448 0.000
Y Ni
16 8
direct
0.000 0.000 0.000
0.000 0.000 0.500
0.000 0.500 0.000
0.188 0.188 0.562
0.188 0.562 0.188
0.188 0.562 0.562
0.438 0.438 0.812
0.438 0.812 0.438
0.438 0.812 0.812
0.500 0.000 0.000
0.562 0.188 0.188
0.562 0.188 0.562
0.562 0.562 0.188
0.812 0.438 0.438
0.812 0.438 0.812
0.812 0.812 0.438
0.171 0.776 0.776
0.224 0.224 0.224
0.224 0.224 0.829
0.224 0.829 0.224
0.776 0.171 0.776
0.776 0.776 0.171
0.776 0.776 0.776
0.829 0.224 0.224
```



No. 3
DFT (PBEsol) results for a relaxed structure of In2AsOsN.

Properties
Uncorrected formation energy   21.7 kcal/mol of atoms
Spin magnetization   0.0 μB/f.u.
Space group   P4/mmm, No. 123
Crystal system   tetragonal
Total energy   -5.423 eV/atom
N(E_F)   3.5 states/eV per cell

Cell and atoms, written as POSCAR:
```
In2AsOsN
1.0
4.457 0.000 0.000
0.000 4.457 0.000
0.000 0.000 4.122
In As Os N
2 1 1 1
direct
0.000 0.500 0.000
0.500 0.000 0.000
0.000 0.000 0.500
0.500 0.500 0.500
0.000 0.000 0.000
```